Record 1
A plane-wave DFT calculation with PBE was carried out for crystalline DyNpCN at its relaxed geometry.

electronic total energy: -9.52 eV/atom
volume: 61 Å³/cell

```
data_DyNpCN
_cell_length_a 3.500
_cell_length_b 3.500
_cell_length_c 6.073
_cell_angle_alpha 73.25
_cell_angle_beta 73.25
_cell_angle_gamma 60.00
_space_group_name_H-M_alt 'P 1'
_space_group_IT_number 1
loop_
_space_group_symop_operation_xyz
'x,y,z'
loop_
_atom_site_label
_atom_site_fract_x
_atom_site_fract_y
_atom_site_fract_z
C1 0.952 0.952 0.145
Np1 0.694 0.694 0.917
N1 0.438 0.438 0.687
Dy1 0.193 0.193 0.422
```



Record 2
A plane-wave DFT calculation with PBE was carried out for crystalline ZnGeSe2 at its relaxed geometry.

electronic total energy: -3.36 eV/atom
volume: 118 Å³/cell

```
data_ZnGeSe2
_cell_length_a 7.744
_cell_length_b 7.744
_cell_length_c 7.744
_cell_angle_alpha 32.34
_cell_angle_beta 32.34
_cell_angle_gamma 32.34
_space_group_name_H-M_alt 'P 1'
_space_group_IT_number 1
loop_
_space_group_symop_operation_xyz
'x,y,z'
loop_
_atom_site_label
_atom_site_fract_x
_atom_site_fract_y
_atom_site_fract_z
Se1 0.897 0.897 0.897
Se2 0.103 0.103 0.103
Zn1 0.000 0.000 0.000
Ge1 0.500 0.500 0.500
```



Record 3
A plane-wave DFT calculation with PBE was carried out for crystalline Zn3RuBr at its relaxed geometry.

electronic total energy: -1.49 eV/atom
polymorph energy (0 for the lowest one): 0.968 eV/atom
volume: 112 Å³/cell

```
data_Zn3RuBr
_cell_length_a 4.814
_cell_length_b 4.814
_cell_length_c 4.814
_cell_angle_alpha 90.00
_cell_angle_beta 90.00
_cell_angle_gamma 90.00
_space_group_name_H-M_alt 'P 1'
_space_group_IT_number 1
loop_
_space_group_symop_operation_xyz
'x,y,z'
loop_
_atom_site_label
_atom_site_fract_x
_atom_site_fract_y
_atom_site_fract_z
Ru1 0.500 0.500 0.500
Br1 0.000 0.000 0.000
Zn1 0.500 0.000 0.000
Zn2 0.000 0.500 0.000
Zn3 0.000 0.000 0.500
```



Record 4
A plane-wave DFT calculation with PBE was carried out for crystalline Pu3Co3Ge8 at its relaxed geometry.

electronic total energy: -7.52 eV/atom
ΔE_f: -0.287 eV/atom
volume: 245 Å³/cell

```
data_Pu3Co3Ge8
_cell_length_a 4.382
_cell_length_b 7.982
_cell_length_c 8.418
_cell_angle_alpha 61.05
_cell_angle_beta 74.91
_cell_angle_gamma 74.07
_space_group_name_H-M_alt 'P 1'
_space_group_IT_number 1
loop_
_space_group_symop_operation_xyz
'x,y,z'
loop_
_atom_site_label
_atom_site_fract_x
_atom_site_fract_y
_atom_site_fract_z
Pu1 0.292 0.741 0.675
Pu2 0.708 0.259 0.325
Pu3 0.000 0.000 0.000
Co1 0.000 0.500 0.500
Co2 0.328 0.347 0.997
Co3 0.672 0.653 0.003
Ge1 0.151 0.563 0.136
Ge2 0.483 0.337 0.696
Ge3 0.643 0.960 0.753
Ge4 0.126 0.159 0.589
Ge5 0.517 0.663 0.304
Ge6 0.849 0.437 0.864
Ge7 0.874 0.841 0.411
Ge8 0.357 0.040 0.247
```



Record 5
A plane-wave DFT calculation with PBE was carried out for crystalline YMg14Sb at its relaxed geometry.

electronic total energy: -2.10 eV/atom
volume: 380 Å³/cell

```
data_YMg14Sb
_cell_length_a 6.520
_cell_length_b 6.520
_cell_length_c 10.326
_cell_angle_alpha 90.00
_cell_angle_beta 90.00
_cell_angle_gamma 120.00
_space_group_name_H-M_alt 'P 1'
_space_group_IT_number 1
loop_
_space_group_symop_operation_xyz
'x,y,z'
loop_
_atom_site_label
_atom_site_fract_x
_atom_site_fract_y
_atom_site_fract_z
Mg1 0.992 0.496 0.500
Mg2 0.012 0.506 0.000
Mg3 0.666 0.833 0.255
Mg4 0.167 0.334 0.745
Mg5 0.667 0.333 0.757
Mg6 0.667 0.333 0.243
Mg7 0.494 0.506 0.000
Mg8 0.504 0.496 0.500
Mg9 0.167 0.833 0.745
Mg10 0.666 0.833 0.745
Mg11 0.504 0.008 0.500
Mg12 0.494 0.988 0.000
Mg13 0.167 0.833 0.255
Mg14 0.167 0.334 0.255
Sb1 0.000 0.000 0.500
Y1 0.000 0.000 0.000
```



Record 6
A plane-wave DFT calculation with PBE was carried out for crystalline SrEuInPb at its relaxed geometry.

electronic total energy: -5.09 eV/atom
ΔE_f: -0.485 eV/atom
volume: 132 Å³/cell

```
data_SrEuInPb
_cell_length_a 5.718
_cell_length_b 5.718
_cell_length_c 5.718
_cell_angle_alpha 60.00
_cell_angle_beta 60.00
_cell_angle_gamma 60.00
_space_group_name_H-M_alt 'P 1'
_space_group_IT_number 1
loop_
_space_group_symop_operation_xyz
'x,y,z'
loop_
_atom_site_label
_atom_site_fract_x
_atom_site_fract_y
_atom_site_fract_z
In1 0.000 0.000 0.000
Eu1 0.750 0.750 0.750
Pb1 0.500 0.500 0.500
Sr1 0.250 0.250 0.250
```